Entry 1:
Computed, not measured: an optimized crystal structure of PmGdHgPt at the PBE-GGA level of DFT.

The structure in POSCAR format:
```
PmGdHgPt
1.0
5.1788 0.0000 0.0000
2.5894 4.4849 0.0000
2.5894 1.4950 4.2284
Hg Gd Pm Pt
1 1 1 1
Direct
0.2500 0.2500 0.2500
0.0000 0.0000 0.0000
0.5000 0.5000 0.5000
0.7500 0.7500 0.7500
```

Summary:
density of states at the Fermi level: 3.627 states/eV/cell
E_tot: -7.06 eV per atom
energy relative to the elements: -0.764 eV per atom

Entry 2:
Computed, not measured: an optimized crystal structure of RbAl2CoHg at the PBE-GGA level of DFT.

The structure in POSCAR format:
```
RbAl2CoHg
1.0
5.1901 0.0000 0.0000
0.0000 5.2427 0.0000
0.0000 0.0000 5.1901
Rb Co Al Hg
1 1 2 1
Direct
0.5000 0.5000 0.5000
0.0000 0.5000 0.0000
0.0000 0.0000 0.5000
0.5000 0.0000 0.0000
0.0000 0.0000 0.0000
```

Summary:
density of states at the Fermi level: 8.616 states/eV/cell
E_tot: -2.35 eV per atom
energy relative to the elements: 0.818 eV per atom

Entry 3:
Computed, not measured: an optimized crystal structure of Tb2ZnCu3Ni12 at the PBE-GGA level of DFT.

The structure in POSCAR format:
```
Tb2ZnCu3Ni12
1.0
9.0486 1.8593 1.3188
6.0855 6.9499 1.3188
6.0855 3.5422 6.1232
Ni Zn Tb Cu
12 1 2 3
Direct
0.0730 0.6424 0.0730
0.1887 0.5793 0.5793
0.3576 0.9270 0.9270
0.4207 0.8113 0.4207
0.4207 0.4207 0.8113
0.5793 0.1887 0.5793
0.8113 0.4207 0.4207
0.6424 0.0730 0.0730
0.9270 0.3576 0.9270
0.0730 0.0730 0.6424
0.5793 0.5793 0.1887
0.9270 0.9270 0.3576
0.0000 0.0000 0.0000
0.6488 0.6488 0.6488
0.3512 0.3512 0.3512
0.0000 0.5000 0.0000
0.0000 0.0000 0.5000
0.5000 0.0000 0.0000
```

Summary:
density of states at the Fermi level: 26.452 states/eV/cell
E_tot: -4.91 eV per atom
energy relative to the elements: 0.212 eV per atom

Entry 4:
Computed, not measured: an optimized crystal structure of CaAs3Pd3 at the PBE-GGA level of DFT.

The structure in POSCAR format:
```
CaAs3Pd3
1.0
6.8817 0.0000 0.0000
0.0000 6.8817 0.0000
0.0000 0.0000 6.8817
Pd As Ca
6 6 2
Direct
0.0000 0.2500 0.5000
0.2500 0.5000 0.0000
0.5000 0.0000 0.7500
0.5000 0.0000 0.2500
0.0000 0.7500 0.5000
0.7500 0.5000 0.0000
0.5000 0.7500 0.0000
0.0000 0.5000 0.2500
0.0000 0.5000 0.7500
0.2500 0.0000 0.5000
0.5000 0.2500 0.0000
0.7500 0.0000 0.5000
0.0000 0.0000 0.0000
0.5000 0.5000 0.5000
```

Summary:
density of states at the Fermi level: 7.434 states/eV/cell
E_tot: -4.84 eV per atom
energy relative to the elements: -0.333 eV per atom